Tb2PmHo2Sc2: relaxed, PBE.

Values from the calculation:
Fermi-level density of states (states/eV per atom): 1.84
Uncorrected energy (eV per cell): -35.3

abc: 11.711 11.711 11.711
angles: 163.21 153.24 31.76
Fractional coordinates of all 7 atoms:
Tb 0.073 0.073 0.000
Tb 0.927 0.927 0.000
Pm 0.500 0.500 0.000
Ho 0.208 0.708 0.500
Ho 0.792 0.292 0.500
Sc 0.355 0.855 0.500
Sc 0.645 0.145 0.500